! CsAlFe2Mo (PBEsol, optimized geometry); values from VASP
&SYSTEM
  ibrav = 0, nat = 5, ntyp = 4
/
ATOMIC_SPECIES
Mo 95.94 Mo.upf
Cs 132.91 Cs.upf
Fe 55.84 Fe.upf
Al 26.98 Al.upf
ATOMIC_POSITIONS crystal
Mo 0.5000 0.5000 0.5000
Cs 0.0000 0.0000 0.5000
Fe 0.5000 0.0000 0.0000
Fe 0.0000 0.5000 0.0000
Al 0.0000 0.0000 0.0000
CELL_PARAMETERS angstrom
4.5131 0.0000 0.0000
0.0000 4.5131 0.0000
0.0000 0.0000 5.6296
! DOS at the Fermi energy = 5.5 states/eV/cell
! ΔH_f (0 K) = 2.2390 eV/atom
! DFT total energy = -4.707 eV per atom